Material: Li2ScAlS4
Method: DFT, PBE
State: optimized geometry

abc: 7.2773 7.2773 7.3639
angles: 120.40 120.40 90.20
Fractional coordinates of all 16 atoms:
Li  0.5000  0.0000  0.0000
Li  0.5000  0.0000  0.5000
Li  0.0000  0.0000  0.5000
Li  0.5000  0.5000  0.0000
Sc  0.0000  0.5000  0.0000
Sc  0.0000  0.5000  0.5000
Al  0.5000  0.5000  0.5000
Al  0.0000  0.0000  0.0000
S  0.2407  0.7577  0.9992
S  0.7423  0.2593  0.5008
S  0.2577  0.7407  0.4992
S  0.7593  0.2423  0.0008
S  0.7499  0.7503  0.9783
S  0.7497  0.7501  0.5217
S  0.2503  0.2499  0.4783
S  0.2501  0.2497  0.0217

## Properties
- crystal system = orthorhombic


Material: LiAlSeS
Method: DFT, PBE
State: optimized geometry

abc: 3.8799 3.8799 7.0038
angles: 73.92 73.92 60.00
Fractional coordinates of all 4 atoms:
Li  0.4731  0.4731  0.5808
Al  0.9837  0.9837  0.0490
Se  0.0972  0.0972  0.7083
S  0.6028  0.6028  0.1917

## Properties
- crystal system = trigonal


Material: LiAlSi2S6
Method: DFT, PBE
State: optimized geometry

abc: 6.4016 8.8095 8.8095
angles: 87.29 71.61 71.61
Fractional coordinates of all 20 atoms:
Li  0.2500  0.7951  0.2049
Li  0.7500  0.2049  0.7951
Al  0.2500  0.1995  0.8005
Al  0.7500  0.8005  0.1995
Si  0.2903  0.7951  0.6329
Si  0.2097  0.3671  0.2049
Si  0.7097  0.2049  0.3671
Si  0.7903  0.6329  0.7951
S  0.1078  0.9893  0.8075
S  0.3922  0.1925  0.0107
S  0.8922  0.0107  0.1925
S  0.6078  0.8075  0.9893
S  0.4026  0.8760  0.3961
S  0.0974  0.6039  0.1240
S  0.5974  0.1240  0.6039
S  0.9026  0.3961  0.8760
S  0.0353  0.6975  0.5950
S  0.4647  0.4050  0.3025
S  0.9647  0.3025  0.4050
S  0.5353  0.5950  0.6975

## Properties
- crystal system = monoclinic


no.,energy (eV per atom),ΔE_f (raw) (eV/atom),DOS at the Fermi energy (states/eV/atom)
1,-5.268,-1.47,0.000
2,-4.315,-1.00,0.004
3,-4.903,-0.78,0.000